Arrangement w

This record from the Alexandria database describes an optimized crystal structure of CaTiN2F. The functional is PBE-GGA.

Space-group type   No. 123

Structure (POSCAR):
```
CaTiN2F
1.0
-3.6267 -2.4136 0.6095
2.4479 -3.2623 1.6478
-0.4157 1.5611 3.7082
N Ca F Ti
2 1 1 1
direct
0.0000 0.5000 0.0000 N
0.5000 0.0000 0.0000 N
0.0000 0.0000 0.0000 Ca
0.0000 0.0000 0.5000 F
0.5000 0.5000 0.5000 Ti
```

=====

Arrangement x

This record from the Alexandria database describes an optimized crystal structure of CaTiN2F. The functional is PBE-GGA.

Space-group type   No. 123

Structure (POSCAR):
```
CaTiN2F
1.0
-1.6558 3.3307 -1.3386
-0.9573 -1.8305 -3.3705
-3.5244 -1.1080 1.6027
N Ca F Ti
2 1 1 1
direct
0.0000 0.5000 0.0000 N
0.5000 0.0000 0.0000 N
0.5000 0.5000 0.5000 Ca
0.0000 0.0000 0.5000 F
0.0000 0.0000 0.0000 Ti
```

=====

Tell me which of them is the most stable. Sure, it is arrangement x.

=====

Arrangement w

This record from the Alexandria database describes an optimized crystal structure of CaTlN2F. The functional is PBE-GGA.

Space-group type   No. 123

Structure (POSCAR):
```
CaTlN2F
1.0
4.8369 0.0000 0.0000
0.0000 4.8369 0.0000
0.0000 0.0000 4.3691
Tl N Ca F
1 2 1 1
direct
0.5000 0.5000 0.5000 Tl
0.0000 0.5000 0.0000 N
0.5000 0.0000 0.0000 N
0.0000 0.0000 0.0000 Ca
0.0000 0.0000 0.5000 F
```

=====

Arrangement x

This record from the Alexandria database describes an optimized crystal structure of CaTlN2F. The functional is PBE-GGA.

Space-group type   No. 123

Structure (POSCAR):
```
CaTlN2F
1.0
-0.6336 -3.5847 2.2454
4.1417 -0.9869 -0.4069
0.9250 2.2763 3.8949
Tl N Ca F
1 2 1 1
direct
0.0000 0.0000 0.0000 Tl
0.0000 0.5000 0.0000 N
0.5000 0.0000 0.0000 N
0.5000 0.5000 0.5000 Ca
0.0000 0.0000 0.5000 F
```

=====

Tell me which of them is the most stable. Sure, it is arrangement w.

=====

Arrangement w

This record from the Alexandria database describes an optimized crystal structure of CaTlNF2. The functional is PBE-GGA.

Space-group type   No. 123

Structure (POSCAR):
```
CaTlNF2
1.0
4.5667 0.0000 0.0000
0.0000 4.5667 0.0000
0.0000 0.0000 4.1737
Tl N Ca F
1 1 1 2
direct
0.0000 0.0000 0.0000 Tl
0.0000 0.0000 0.5000 N
0.5000 0.5000 0.5000 Ca
0.0000 0.5000 0.0000 F
0.5000 0.0000 0.0000 F
```

=====

Arrangement x

This record from the Alexandria database describes an optimized crystal structure of CaTlNF2. The functional is PBE-GGA.

Space-group type   No. 123

Structure (POSCAR):
```
CaTlNF2
1.0
4.4346 0.0000 0.0000
0.0000 4.4346 0.0000
0.0000 0.0000 4.9718
Tl N Ca F
1 1 1 2
direct
0.5000 0.5000 0.5000 Tl
0.0000 0.0000 0.5000 N
0.0000 0.0000 0.0000 Ca
0.0000 0.5000 0.0000 F
0.5000 0.0000 0.0000 F
```

=====

Tell me which of them is the most stable. Sure, it is arrangement x.

=====

Arrangement w

This record from the Alexandria database describes an optimized crystal structure of NaCa2F. The functional is PBE-GGA.

Space-group type   No. 166

Structure (POSCAR):
```
NaCa2F
1.0
3.7021 0.0000 0.0000
1.8510 3.2061 0.0000
1.8510 1.0687 10.2799
Na Ca F
1 2 1
direct
0.0000 0.0000 0.0000 Na
0.1146 0.1146 0.6561 Ca
0.8854 0.8854 0.3439 Ca
0.5000 0.5000 0.5000 F
```

=====

Arrangement x

This record from the Alexandria database describes an optimized crystal structure of NaCa2F. The functional is PBE-GGA.

Space-group type   No. 122

Structure (POSCAR):
```
NaCa2F
1.0
7.3531 0.0000 0.0000
0.0000 7.3531 0.0000
3.6766 3.6766 4.7636
Na Ca F
2 4 2
direct
0.0000 0.0000 0.0000 Na
0.7500 0.2500 0.5000 Na
0.4815 0.1250 0.2500 Ca
0.2685 0.6250 0.2500 Ca
0.3750 0.5185 0.7500 Ca
0.8750 0.7315 0.7500 Ca
0.5000 0.5000 0.0000 F
0.2500 0.7500 0.5000 F
```

=====

Tell me which of them is the most stable. Sure, it is arrangement x.